A relaxed structure of InFeAg2Os, computed with PBE-GGA.

Cell and atoms, written as POSCAR:
```
InFeAg2Os
1.0
-0.4620 3.6572 -2.9397
-3.4117 -2.4067 -2.4579
-3.3157 1.8357 2.8048
Ag Os Fe In
2 1 1 1
Direct
0.5000 0.0000 0.0000 Ag
0.0000 0.0000 0.5000 Ag
0.5000 0.5000 0.5000 Os
0.0000 0.0000 0.0000 Fe
0.0000 0.5000 0.0000 In
```

spin magnetization: 1.03 μB per atom
formation energy from the elements: 8.12 eV/f.u.
symmetry: No. 123
total DFT energy (no corrections): -4.002 eV per atom